# 1
{
  "formula": "PuGaSnPt",
  "functional": "GGA-PBE",
  "state": "relaxed",
  "lattice_angstrom": [[6.9210, 0.0000, 0.0000], [0.0000, 6.9210, 0.0000], [0.0000, 0.0000, 6.9210]],
  "species": ["Pu", "Pu", "Pu", "Pu", "Ga", "Ga", "Ga", "Ga", "Sn", "Sn", "Sn", "Sn", "Pt", "Pt", "Pt", "Pt"],
  "frac_coords": [[0.0000, 0.0000, 0.0000], [0.0000, 0.5000, 0.5000], [0.5000, 0.0000, 0.5000], [0.5000, 0.5000, 0.0000], [0.2500, 0.2500, 0.7500], [0.2500, 0.7500, 0.2500], [0.7500, 0.2500, 0.2500], [0.7500, 0.7500, 0.7500], [0.0000, 0.0000, 0.5000], [0.0000, 0.5000, 0.0000], [0.5000, 0.0000, 0.0000], [0.5000, 0.5000, 0.5000], [0.2500, 0.2500, 0.2500], [0.2500, 0.7500, 0.7500], [0.7500, 0.2500, 0.7500], [0.7500, 0.7500, 0.2500]],
  "formation_enthalpy_0k_ev_per_atom": -0.4880,
  "crystal_system": "cubic",
  "dos_ef_per_ev_fu": 10.84,
  "density_kg_m3": 12573,
  "vol_a3_per_atom": 20.720,
  "spacegroup": "F-43m, No. 216"
}

***

# 2
{
  "formula": "Pu2GaSnPt6",
  "functional": "GGA-PBE",
  "state": "relaxed",
  "lattice_angstrom": [[4.8118, -2.7805, 0.0000], [4.8118, 2.7805, 0.0000], [-3.1962, 0.0000, 8.3549]],
  "species": ["Pu", "Pu", "Ga", "Sn", "Pt", "Pt", "Pt", "Pt", "Pt", "Pt"],
  "frac_coords": [[0.1973, 0.1973, 0.0922], [0.8027, 0.8027, 0.9078], [0.5000, 0.5000, 0.0000], [0.0000, 0.0000, 0.5000], [0.2442, 0.7457, 0.2358], [0.2543, 0.7558, 0.7642], [0.2546, 0.2546, 0.7640], [0.7454, 0.7454, 0.2360], [0.7457, 0.2442, 0.2358], [0.7558, 0.2543, 0.7642]],
  "formation_enthalpy_0k_ev_per_atom": -0.5803,
  "crystal_system": "monoclinic",
  "dos_ef_per_ev_fu": 24.92,
  "density_kg_m3": 13718,
  "vol_a3_per_atom": 22.356,
  "spacegroup": "C2/m, No. 12"
}

***

# 3
{
  "formula": "SrPuGa2Pt2",
  "functional": "GGA-PBE",
  "state": "relaxed",
  "lattice_angstrom": [[4.4634, 0.0000, 0.0000], [-2.2317, 3.8654, 0.0000], [0.0000, 0.0000, 7.8269]],
  "species": ["Sr", "Pu", "Ga", "Ga", "Pt", "Pt"],
  "frac_coords": [[0.0000, 0.0000, 0.0000], [0.0000, 0.0000, 0.5000], [0.3333, 0.6667, 0.2782], [0.6667, 0.3333, 0.7218], [0.3333, 0.6667, 0.7070], [0.6667, 0.3333, 0.2930]],
  "formation_enthalpy_0k_ev_per_atom": -0.8045,
  "crystal_system": "trigonal",
  "dos_ef_per_ev_fu": 11.31,
  "density_kg_m3": 10591,
  "vol_a3_per_atom": 22.506,
  "spacegroup": "P-3m1, No. 164"
}

***

# 4
{
  "formula": "PuTh2Ga3Pt4",
  "functional": "GGA-PBE",
  "state": "relaxed",
  "lattice_angstrom": [[4.3381, 0.0000, 0.0000], [0.0000, 4.3381, 0.0000], [0.0000, 0.0000, 11.0842]],
  "species": ["Pu", "Th", "Th", "Ga", "Ga", "Ga", "Pt", "Pt", "Pt", "Pt"],
  "frac_coords": [[0.0000, 0.0000, 0.0000], [0.0000, 0.5000, 0.7257], [0.5000, 0.0000, 0.2743], [0.0000, 0.5000, 0.3795], [0.5000, 0.0000, 0.6205], [0.5000, 0.5000, 0.0000], [0.0000, 0.0000, 0.5000], [0.0000, 0.5000, 0.1568], [0.5000, 0.0000, 0.8432], [0.5000, 0.5000, 0.5000]],
  "formation_enthalpy_0k_ev_per_atom": -0.8597,
  "crystal_system": "tetragonal",
  "dos_ef_per_ev_fu": 10.33,
  "density_kg_m3": 13514,
  "vol_a3_per_atom": 20.859,
  "spacegroup": "P-4m2, No. 115"
}

***

# 5
{
  "formula": "Pu2TiGa3Pt4",
  "functional": "GGA-PBE",
  "state": "relaxed",
  "lattice_angstrom": [[4.1088, 0.0000, 0.0000], [0.0000, 4.1088, 0.0000], [0.0000, 0.0000, 11.2488]],
  "species": ["Pu", "Pu", "Ti", "Ga", "Ga", "Ga", "Pt", "Pt", "Pt", "Pt"],
  "frac_coords": [[0.0000, 0.5000, 0.2481], [0.5000, 0.0000, 0.7519], [0.0000, 0.0000, 0.5000], [0.0000, 0.5000, 0.8668], [0.5000, 0.0000, 0.1332], [0.5000, 0.5000, 0.5000], [0.0000, 0.0000, 0.0000], [0.0000, 0.5000, 0.6438], [0.5000, 0.0000, 0.3562], [0.5000, 0.5000, 0.0000]],
  "formation_enthalpy_0k_ev_per_atom": -0.7690,
  "crystal_system": "tetragonal",
  "dos_ef_per_ev_fu": 25.68,
  "density_kg_m3": 13338,
  "vol_a3_per_atom": 18.991,
  "spacegroup": "P-4m2, No. 115"
}

***

# 6
{
  "formula": "YPuGaPt",
  "functional": "GGA-PBE",
  "state": "relaxed",
  "lattice_angstrom": [[7.1095, 0.0000, 0.0000], [0.0000, 7.1095, 0.0000], [0.0000, 0.0000, 7.1095]],
  "species": ["Y", "Y", "Y", "Y", "Pu", "Pu", "Pu", "Pu", "Ga", "Ga", "Ga", "Ga", "Pt", "Pt", "Pt", "Pt"],
  "frac_coords": [[0.0000, 0.0000, 0.0000], [0.0000, 0.5000, 0.5000], [0.5000, 0.0000, 0.5000], [0.5000, 0.5000, 0.0000], [0.0000, 0.0000, 0.5000], [0.0000, 0.5000, 0.0000], [0.5000, 0.0000, 0.0000], [0.5000, 0.5000, 0.5000], [0.2500, 0.2500, 0.7500], [0.2500, 0.7500, 0.2500], [0.7500, 0.2500, 0.2500], [0.7500, 0.7500, 0.7500], [0.2500, 0.2500, 0.2500], [0.2500, 0.7500, 0.7500], [0.7500, 0.2500, 0.7500], [0.7500, 0.7500, 0.2500]],
  "formation_enthalpy_0k_ev_per_atom": -0.6299,
  "crystal_system": "cubic",
  "dos_ef_per_ev_fu": 9.54,
  "density_kg_m3": 11048,
  "vol_a3_per_atom": 22.459,
  "spacegroup": "F-43m, No. 216"
}

***

# 7
{
  "formula": "PuZnGaPt",
  "functional": "GGA-PBE",
  "state": "relaxed",
  "lattice_angstrom": [[6.7023, 0.0000, 0.0000], [0.0000, 6.7023, 0.0000], [0.0000, 0.0000, 6.7023]],
  "species": ["Pu", "Pu", "Pu", "Pu", "Zn", "Zn", "Zn", "Zn", "Ga", "Ga", "Ga", "Ga", "Pt", "Pt", "Pt", "Pt"],
  "frac_coords": [[0.0000, 0.0000, 0.0000], [0.0000, 0.5000, 0.5000], [0.5000, 0.0000, 0.5000], [0.5000, 0.5000, 0.0000], [0.2500, 0.2500, 0.2500], [0.2500, 0.7500, 0.7500], [0.7500, 0.2500, 0.7500], [0.7500, 0.7500, 0.2500], [0.0000, 0.0000, 0.5000], [0.0000, 0.5000, 0.0000], [0.5000, 0.0000, 0.0000], [0.5000, 0.5000, 0.5000], [0.2500, 0.2500, 0.7500], [0.2500, 0.7500, 0.2500], [0.7500, 0.2500, 0.2500], [0.7500, 0.7500, 0.7500]],
  "formation_enthalpy_0k_ev_per_atom": -0.3997,
  "crystal_system": "cubic",
  "dos_ef_per_ev_fu": 8.26,
  "density_kg_m3": 12668,
  "vol_a3_per_atom": 18.817,
  "spacegroup": "F-43m, No. 216"
}

***

# 8
{
  "formula": "PuZn2Ga2Pt2",
  "functional": "GGA-PBE",
  "state": "relaxed",
  "lattice_angstrom": [[2.1953, 1.2674, 7.6676], [-2.1953, 1.2674, 7.6676], [0.0000, -2.5349, 7.6676]],
  "species": ["Pu", "Zn", "Zn", "Ga", "Ga", "Pt", "Pt"],
  "frac_coords": [[0.0000, 0.0000, 0.0000], [0.1364, 0.1364, 0.1364], [0.8636, 0.8636, 0.8636], [0.4099, 0.4099, 0.4099], [0.5901, 0.5901, 0.5901], [0.2496, 0.2496, 0.2496], [0.7504, 0.7504, 0.7504]],
  "formation_enthalpy_0k_ev_per_atom": -0.5567,
  "crystal_system": "trigonal",
  "dos_ef_per_ev_fu": 13.71,
  "density_kg_m3": 11733,
  "vol_a3_per_atom": 18.286,
  "spacegroup": "R-3m, No. 166"
}

***

Respective total DFT energy (no corrections) values: -0.5394 -0.5714 -0.4774 -0.5219 -0.5696 -0.5950 -0.4827 -0.4086 Ry/atom.